# 1
NdCdAg: optimized geometry, PBE-GGA.

## Properties
ΔH_f (0 K), eV per atom: -0.303
Crystal system: monoclinic
N(E_F), states/eV per cell: 8.0
Energy, eV per atom: -3.15

a = 10.8979 Å, b = 4.9469 Å, c = 6.9024 Å
α = 90.00°, β = 127.36°, γ = 90.00°
Space group C2/m (No. 12)
One atom of each set of equivalent atoms:
Nd1 0.0204 0.0000 0.2739 (multiplicity 4)
Cd1 0.1685 0.5000 0.1392 (multiplicity 4)
Ag1 0.1644 0.5000 0.6825 (multiplicity 4)

=====

# 2
Nb4HOs2: optimized geometry, PBE-GGA.

## Properties
Crystal system: tetragonal
N(E_F), states/eV per cell: 11.3
Energy, eV per atom: -9.38

a = 3.9114 Å, b = 3.9114 Å, c = 14.3348 Å
α = 90.00°, β = 90.00°, γ = 90.00°
Space group I4/mmm (No. 139)
One atom of each set of equivalent atoms:
Nb1 0.0000 0.0000 0.1835 (multiplicity 4)
Nb2 0.0000 0.5000 0.0000 (multiplicity 4)
H1 0.0000 0.0000 0.0000 (multiplicity 2)
Os1 0.0000 0.0000 0.3581 (multiplicity 4)

=====

# 3
KMnW2: optimized geometry, PBE-GGA.

## Properties
ΔH_f (0 K), eV per atom: 2.007
Energy relative to the lowest polymorph listed for this composition, kJ/mol of formula units: 454
Crystal system: tetragonal
N(E_F), states/eV per cell: 4.6
Energy, eV per atom: -7.04

a = 5.0882 Å, b = 5.0882 Å, c = 2.7103 Å
α = 90.00°, β = 90.00°, γ = 90.00°
Space group P4/mmm (No. 123)
One atom of each set of equivalent atoms:
K1 0.0000 0.0000 0.0000 (multiplicity 1)
Mn1 0.5000 0.5000 0.0000 (multiplicity 1)
W1 0.0000 0.5000 0.5000 (multiplicity 2)

=====

# 4
InAg2Os: optimized geometry, PBE-GGA.

## Properties
ΔH_f (0 K), eV per atom: 0.598
Crystal system: tetragonal
N(E_F), states/eV per cell: 2.9
Energy, eV per atom: -4.32

a = 2.8350 Å, b = 2.8350 Å, c = 8.9912 Å
α = 90.00°, β = 90.00°, γ = 90.00°
Space group P4/mmm (No. 123)
One atom of each set of equivalent atoms:
In1 0.0000 0.0000 0.0000 (multiplicity 1)
Ag1 0.5000 0.5000 0.2676 (multiplicity 2)
Os1 0.0000 0.0000 0.5000 (multiplicity 1)

=====

# 5
Sm2Tl3Ag: optimized geometry, PBE-GGA.

## Properties
ΔH_f (0 K), eV per atom: -0.256
Crystal system: orthorhombic
N(E_F), states/eV per cell: 4.5
Energy, eV per atom: -3.49

a = 3.6334 Å, b = 5.0412 Å, c = 8.7453 Å
α = 90.00°, β = 90.00°, γ = 90.00°
Space group Pmm2 (No. 25)
One atom of each set of equivalent atoms:
Sm1 0.0000 0.0000 0.0000 (multiplicity 1)
Sm2 0.0000 0.5000 0.4966 (multiplicity 1)
Tl1 0.5000 0.0000 0.6481 (multiplicity 1)
Tl2 0.5000 0.5000 0.1788 (multiplicity 1)
Tl3 0.5000 0.5000 0.8361 (multiplicity 1)
Ag1 0.5000 0.0000 0.3240 (multiplicity 1)

=====

# 6
RbMgTe2: optimized geometry, PBE-GGA.

## Properties
Crystal system: orthorhombic
N(E_F), states/eV per cell: 9.5
Energy, eV per atom: -2.87
E_form (uncorrected), eV/atom: -0.66

a = 6.8823 Å, b = 26.5725 Å, c = 7.2811 Å
α = 90.00°, β = 90.00°, γ = 90.00°
Space group Fmm2 (No. 42)
One atom of each set of equivalent atoms:
Rb1 0.0000 0.0984 0.0000 (multiplicity 8)
Mg1 0.2500 0.2500 0.2489 (multiplicity 8)
Te1 0.0000 0.1942 0.4989 (multiplicity 8)
Te2 0.2009 0.0000 0.2900 (multiplicity 8)

=====

> What is the formula in the sixth record?

RbMgTe2